Density functional theory data (PBE) for an optimized crystal structure of SrLaAgS3.

Output
For the total moment, the calculation gives 0.00 μB per cell. The calculation puts the calculated density at 4.73 Mg/m³. The energy is -5.271 eV/atom.

Unit cell a=9.2230 b=9.2230 c=8.4508 alpha=104.09 beta=104.09 gamma=25.72
Fractional coordinates of all 12 atoms:
Ag  0.5192  0.5192  0.2092
Ag  0.4808  0.4808  0.7908
La  0.1641  0.1641  0.0924
La  0.8359  0.8359  0.9076
S  0.0000  0.0000  0.0000
S  0.3289  0.3289  0.1463
S  0.6768  0.6768  0.3333
S  0.5000  0.5000  0.5000
S  0.3232  0.3232  0.6667
S  0.6711  0.6711  0.8537
Sr  0.8704  0.8704  0.4301
Sr  0.1296  0.1296  0.5699



Density functional theory data (PBE) for an optimized crystal structure of LuAgPd2.

Output
For the total moment, the calculation gives 0.00 μB per cell. The calculation puts the calculated density at 11.80 Mg/m³. The energy is -5.187 eV/atom.

Unit cell a=4.2442 b=4.2442 c=3.8717 alpha=90.00 beta=90.00 gamma=90.00
Fractional coordinates of all 4 atoms:
Ag  0.0000  0.0000  0.5000
Lu  0.5000  0.5000  0.5000
Pd  0.5000  0.0000  0.0000
Pd  0.0000  0.5000  0.0000



Density functional theory data (PBE) for an optimized crystal structure of NaCuPbSe3.

Output
The calculation puts the calculated density at 6.11 Mg/m³. The energy is -3.593 eV/atom.

Unit cell a=6.5841 b=6.5841 c=11.4900 alpha=90.00 beta=90.00 gamma=35.41
Fractional coordinates of all 12 atoms:
Cu  0.4513  0.4513  0.2500
Cu  0.5487  0.5487  0.7500
Na  0.7453  0.7453  0.2500
Na  0.2547  0.2547  0.7500
Pb  0.0000  0.0000  0.0000
Pb  0.0000  0.0000  0.5000
Se  0.3399  0.3399  0.0754
Se  0.0612  0.0612  0.2500
Se  0.3399  0.3399  0.4246
Se  0.6601  0.6601  0.5754
Se  0.9388  0.9388  0.7500
Se  0.6601  0.6601  0.9246



Density functional theory data (PBE) for an optimized crystal structure of Li2PrNdSn4.

Output
For the total moment, the calculation gives 0.00 μB per cell. The calculation puts the calculated density at 6.55 Mg/m³. The energy is -4.246 eV/atom.

Unit cell a=4.5370 b=9.8173 c=9.8173 alpha=26.65 beta=90.00 gamma=90.00
Fractional coordinates of all 8 atoms:
Li  0.0000  0.1756  0.1756
Li  0.5000  0.8244  0.8244
Nd  0.0000  0.3934  0.3934
Pr  0.5000  0.6066  0.6066
Sn  0.0000  0.0440  0.0440
Sn  0.5000  0.2499  0.2499
Sn  0.0000  0.7501  0.7501
Sn  0.5000  0.9559  0.9559



Density functional theory data (PBE) for an optimized crystal structure of PmNdSe2S.

Output
For the total moment, the calculation gives 0.00 μB per cell. The calculation puts the calculated density at 5.73 Mg/m³. The energy is -5.908 eV/atom.

Unit cell a=4.6221 b=4.6221 c=7.5017 alpha=90.00 beta=90.00 gamma=120.00
Fractional coordinates of all 5 atoms:
Nd  0.0000  0.0000  0.2229
Pm  0.6667  0.3333  0.7745
S  0.3333  0.6667  0.9988
Se  0.6667  0.3333  0.3611
Se  0.0000  0.0000  0.6427



Density functional theory data (PBE) for an optimized crystal structure of PaAlIr.

Output
For the total moment, the calculation gives 0.15 μB per cell. The calculation puts the calculated density at 11.13 Mg/m³. The energy is -7.937 eV/atom.

Unit cell a=4.5632 b=4.5632 c=4.5632 alpha=60.00 beta=60.00 gamma=60.00
Fractional coordinates of all 3 atoms:
Al  0.7500  0.7500  0.7500
Ir  0.0000  0.0000  0.0000
Pa  0.2500  0.2500  0.2500